[1]
VASP calculation (GGA-PBE) on a geometry-optimized Ca2YCu structure.

Values from the calculation:
The formation energy from the elements comes out at -15 meV/atom. The energy above the most stable polymorph in this dataset comes out at 0.035 eV per atom.

Unit cell a=3.782 b=3.841 c=9.141 alpha=77.79 beta=90.00 gamma=90.00
Element x y z (fractional)
Ca 0.000 0.079 0.965
Ca 0.500 0.411 0.303
Cu 0.000 0.281 0.564
Y 0.500 0.729 0.668

---

[2]
VASP calculation (GGA-PBE) on a geometry-optimized NbH2I5 structure.

Values from the calculation:
The final energy comes out at -24.158 eV for the cell shown.

Unit cell a=7.864 b=7.410 c=7.668 alpha=60.75 beta=62.58 gamma=64.25
Last column: magnetic moment on the atom in μB.
Element x y z (fractional)
H 0.534 0.565 0.331  0.38
H 0.920 0.483 0.560  0.00
I 0.245 0.144 0.955  -0.01
I 0.634 0.994 0.347  0.02
I 0.145 0.564 0.255  0.00
I 0.027 0.863 0.718  -0.01
I 0.745 0.409 0.812  0.00
Nb 0.973 0.977 0.022  0.86